## Er5SbSe5 (PBE-GGA)

Data for a geometry-optimized Er5SbSe5 structure.

- raw formation energy (eV/atom) = -1.68
- total moment (μB per cell) = 0.00

```
Er5SbSe5
1.0
-0.047 -4.927 3.089
-0.135 -0.956 -7.001
7.835 1.210 2.050
Se Er Sb
5 5 1
direct
0.330 0.659 0.163
0.664 0.327 0.335
0.336 0.673 0.665
0.670 0.341 0.837
0.000 0.000 0.500
0.500 0.000 0.000
0.832 0.663 0.656
0.834 0.667 0.178
0.168 0.337 0.344
0.166 0.333 0.822
0.000 0.000 0.000
```



## Er8Sb2Se (PBE-GGA)

Data for a geometry-optimized Er8Sb2Se structure.

- raw formation energy (eV/atom) = -0.68
- total moment (μB per cell) = 0.18

```
Er8Sb2Se
1.0
-3.549 -1.043 1.424
-1.354 -5.284 -7.244
5.583 -5.647 4.259
Er Se Sb
8 1 2
direct
0.790 0.646 0.580
0.407 0.460 0.814
0.661 0.028 0.322
0.210 0.354 0.420
0.339 0.972 0.678
0.593 0.540 0.186
0.986 0.770 0.973
0.014 0.230 0.027
0.500 0.000 0.000
0.175 0.777 0.349
0.825 0.223 0.651
```



## Er5Sb4Se (PBE-GGA)

Data for a geometry-optimized Er5Sb4Se structure.

- raw formation energy (eV/atom) = -1.23
- total moment (μB per cell) = 0.00

```
Er5Sb4Se
1.0
-5.213 3.135 0.247
-3.433 -0.316 6.592
0.800 7.073 2.162
Er Sb Se
5 4 1
direct
0.707 0.194 0.394
0.501 0.000 0.000
0.295 0.806 0.606
0.901 0.394 0.806
0.101 0.606 0.194
0.598 0.602 0.203
0.801 0.797 0.602
0.404 0.398 0.797
0.201 0.203 0.398
0.001 0.000 0.000
```



## Er4SbSe2 (PBE-GGA)

Data for a geometry-optimized Er4SbSe2 structure.

- offset from the most stable computed form (meV per atom) = 238
- raw formation energy (eV/atom) = -1.03
- total moment (μB per cell) = 0.00

```
Er4SbSe2
1.0
-6.277 -1.562 2.691
5.245 -2.904 3.623
0.391 6.692 4.797
Er Sb Se
8 2 4
direct
0.229 0.229 0.500
0.000 0.500 0.750
0.500 0.000 0.250
0.000 0.500 0.250
0.771 0.771 0.500
0.229 0.229 0.000
0.771 0.771 0.000
0.500 0.000 0.750
0.500 0.500 0.250
0.500 0.500 0.750
0.187 0.813 0.000
0.813 0.187 0.500
0.813 0.187 0.000
0.187 0.813 0.500
```



## Er4SiSbSe2 (PBE-GGA)

Data for a geometry-optimized Er4SiSbSe2 structure.

- raw formation energy (eV/atom) = -1.35
- total moment (μB per cell) = 0.00

```
Er4SiSbSe2
1.0
4.145 0.000 0.000
0.000 7.157 -0.132
0.000 2.530 6.771
Er Sb Se Si
4 1 2 1
direct
0.000 0.747 0.735
0.500 0.261 0.734
0.500 0.739 0.266
0.000 0.253 0.265
0.500 0.500 0.000
0.000 0.000 0.000
0.500 0.000 0.500
0.000 0.500 0.500
```



## Er6Si2SbSe3 (PBE-GGA)

Data for a geometry-optimized Er6Si2SbSe3 structure.

- raw formation energy (eV/atom) = -1.34
- total moment (μB per cell) = 0.00

```
Er6Si2SbSe3
1.0
4.123 0.000 0.000
0.000 8.279 0.322
-2.061 -2.361 8.672
Er Se Si Sb
6 3 2 1
direct
0.671 0.102 0.342
0.329 0.425 0.657
0.329 0.898 0.658
0.671 0.575 0.343
0.007 0.261 0.014
0.993 0.739 0.986
0.500 0.500 0.000
0.836 0.166 0.672
0.164 0.834 0.328
0.167 0.336 0.335
0.833 0.664 0.665
0.500 0.000 0.000
```



## Er4SnSb2Se (PBE-GGA)

Data for a geometry-optimized Er4SnSb2Se structure.

- raw formation energy (eV/atom) = -1.14
- total moment (μB per cell) = 0.00

```
Er4SnSb2Se
1.0
4.271 0.000 0.000
0.000 7.432 -0.157
0.000 2.607 6.974
Er Sb Sn Se
4 2 1 1
direct
0.500 0.255 0.752
0.000 0.745 0.751
0.000 0.255 0.249
0.500 0.745 0.248
0.500 0.000 0.500
0.000 0.000 0.000
0.000 0.500 0.500
0.500 0.500 0.000
```



## Er6Sn2SbSe3 (PBE-GGA)

Data for a geometry-optimized Er6Sn2SbSe3 structure.

- raw formation energy (eV/atom) = -1.26
- total moment (μB per cell) = 0.00

```
Er6Sn2SbSe3
1.0
4.220 0.000 0.000
0.000 8.425 0.328
-2.110 -2.404 8.857
Sn Se Er Sb
2 3 6 1
direct
0.833 0.666 0.666
0.167 0.334 0.334
0.500 0.500 0.000
0.165 0.834 0.330
0.835 0.166 0.670
0.665 0.587 0.330
0.001 0.256 0.001
0.999 0.744 0.999
0.669 0.083 0.338
0.335 0.413 0.670
0.331 0.917 0.662
0.500 0.000 0.000
```



## Er6Sb3TeSe2 (PBE-GGA)

Data for a geometry-optimized Er6Sb3TeSe2 structure.

- raw formation energy (eV/atom) = -1.32
- total moment (μB per cell) = 0.00

```
Er6Sb3TeSe2
1.0
4.255 0.000 0.000
0.000 8.477 0.323
-2.127 -2.418 8.934
Te Er Sb Se
1 6 3 2
direct
0.500 0.000 0.000
0.006 0.260 0.013
0.327 0.905 0.655
0.671 0.578 0.341
0.994 0.740 0.987
0.329 0.422 0.659
0.673 0.095 0.345
0.162 0.832 0.324
0.500 0.500 0.000
0.838 0.168 0.676
0.832 0.666 0.664
0.168 0.334 0.336
```



## Er6SbTe2Se3 (PBE-GGA)

Data for a geometry-optimized Er6SbTe2Se3 structure.

- raw formation energy (eV/atom) = -1.45
- total moment (μB per cell) = 0.00

```
Er6SbTe2Se3
1.0
-4.724 -3.535 -4.169
3.063 -3.348 5.622
-4.602 4.393 3.576
Er Se Te Sb
6 3 2 1
direct
0.583 0.908 0.721
0.092 0.417 0.279
0.230 0.230 0.719
0.417 0.092 0.279
0.908 0.583 0.721
0.770 0.770 0.281
0.170 0.830 0.500
0.500 0.500 0.500
0.830 0.170 0.500
0.666 0.334 0.000
0.334 0.666 0.000
0.000 0.000 0.000
```



## Er8SbTe4Se3 (PBE-GGA)

Data for a geometry-optimized Er8SbTe4Se3 structure.

- raw formation energy (eV/atom) = -1.40
- total moment (μB per cell) = 0.00

```
Er8SbTe4Se3
1.0
-2.420 7.092 -3.824
-7.484 -0.397 3.999
7.123 -0.148 4.471
Er Se Te Sb
8 3 4 1
direct
0.247 0.721 0.494
0.727 0.721 0.974
0.753 0.279 0.026
0.273 0.279 0.026
0.738 0.714 0.476
0.262 0.286 0.524
0.753 0.279 0.506
0.247 0.721 0.974
0.500 0.500 0.500
0.500 0.500 0.000
0.000 0.500 0.500
0.500 0.000 0.500
0.500 0.000 0.000
0.000 0.000 0.500
0.000 0.000 0.000
0.000 0.500 0.000
```



## Er4Sb2TeSe (PBE-GGA)

Data for a geometry-optimized Er4Sb2TeSe structure.

- raw formation energy (eV/atom) = -1.29
- total moment (μB per cell) = 0.00

```
Er4Sb2TeSe
1.0
4.286 0.000 0.000
0.000 7.363 -0.120
0.000 2.616 6.958
Sb Er Te Se
2 4 1 1
direct
0.000 0.000 0.000
0.500 0.000 0.500
0.000 0.745 0.761
0.500 0.247 0.761
0.000 0.255 0.239
0.500 0.753 0.239
0.000 0.500 0.500
0.500 0.500 0.000
```



## Er4SbTeSe2 (PBE-GGA)

Data for a geometry-optimized Er4SbTeSe2 structure.

- raw formation energy (eV/atom) = -1.44
- total moment (μB per cell) = 0.00

```
Er4SbTeSe2
1.0
8.382 0.002 0.002
-0.003 8.382 0.002
-4.147 -4.150 5.924
Te Sb Er Se
2 2 8 4
direct
0.000 0.500 0.000
0.000 0.500 0.500
0.500 0.500 0.500
0.000 0.000 0.000
0.739 0.761 0.010
0.732 0.221 0.477
0.268 0.779 0.523
0.721 0.232 0.977
0.261 0.239 0.510
0.261 0.239 0.990
0.739 0.761 0.490
0.279 0.768 0.023
0.000 0.000 0.500
0.500 0.500 0.000
0.500 0.000 0.000
0.500 0.000 0.500
```



## Er4SbTe2Se (PBE-GGA)

Data for a geometry-optimized Er4SbTe2Se structure.

- raw formation energy (eV/atom) = -1.33
- total moment (μB per cell) = 0.00

```
Er4SbTe2Se
1.0
4.247 0.000 0.000
0.000 7.453 -0.185
0.000 2.587 6.878
Er Sb Se Te
4 1 1 2
direct
0.000 0.278 0.228
0.000 0.722 0.772
0.500 0.730 0.243
0.500 0.270 0.757
0.000 0.500 0.500
0.500 0.500 0.000
0.500 0.000 0.500
0.000 0.000 0.000
```



## Er6SbTe3Se2 (PBE-GGA)

Data for a geometry-optimized Er6SbTe3Se2 structure.

- raw formation energy (eV/atom) = -1.38
- total moment (μB per cell) = 0.00

```
Er6SbTe3Se2
1.0
7.291 -0.001 -0.001
-3.644 6.315 -0.001
-1.217 -2.108 7.016
Er Te Se Sb
6 3 2 1
direct
0.578 0.924 0.777
0.924 0.578 0.777
0.076 0.422 0.223
0.724 0.724 0.218
0.276 0.276 0.782
0.422 0.076 0.223
0.162 0.838 0.500
0.838 0.162 0.500
0.500 0.500 0.500
0.668 0.332 0.000
0.332 0.668 0.000
0.000 0.000 0.000
```



## Er4TlSbSe2 (PBE-GGA)

Data for a geometry-optimized Er4TlSbSe2 structure.

- raw formation energy (eV/atom) = -1.17
- total moment (μB per cell) = 0.00

```
Er4TlSbSe2
1.0
-3.807 0.416 1.523
-2.823 -2.390 -6.407
-0.664 -7.249 0.320
Se Er Tl Sb
2 4 1 1
direct
0.000 0.000 0.000
0.500 0.000 0.500
0.000 0.759 0.744
0.000 0.241 0.256
0.500 0.763 0.245
0.500 0.237 0.755
0.000 0.500 0.500
0.500 0.500 0.000
```



## Er3Tl4SbSe8 (PBE-GGA)

Data for a geometry-optimized Er3Tl4SbSe8 structure.

- raw formation energy (eV/atom) = -1.12
- total moment (μB per cell) = 0.00

```
Er3Tl4SbSe8
1.0
8.350 0.000 0.000
0.000 9.105 0.527
-4.175 -4.174 5.905
Se Er Tl Sb
8 3 4 1
direct
0.236 0.704 0.473
0.731 0.704 0.968
0.269 0.296 0.032
0.734 0.702 0.468
0.764 0.296 0.527
0.236 0.704 0.968
0.764 0.296 0.032
0.266 0.298 0.532
0.500 0.500 0.500
0.500 0.500 0.000
0.000 0.500 0.500
0.000 0.000 0.000
0.000 0.000 0.500
0.500 0.000 0.000
0.500 0.000 0.500
0.000 0.500 0.000
```



## Er2Tl3SbSe6 (PBE-GGA)

Data for a geometry-optimized Er2Tl3SbSe6 structure.

- raw formation energy (eV/atom) = -1.04
- total moment (μB per cell) = 0.00

```
Er2Tl3SbSe6
1.0
7.244 -0.002 0.001
-3.622 6.274 0.001
-1.208 -2.091 7.724
Se Tl Er Sb
6 3 2 1
direct
0.731 0.731 0.204
0.404 0.068 0.203
0.269 0.269 0.796
0.596 0.932 0.797
0.932 0.596 0.797
0.068 0.404 0.203
0.833 0.167 0.500
0.500 0.500 0.500
0.167 0.833 0.500
0.333 0.667 0.000
0.667 0.333 0.000
0.000 0.000 0.000
```



## ErTl2SbSe4 (PBE-GGA)

Data for a geometry-optimized ErTl2SbSe4 structure.

- raw formation energy (eV/atom) = -0.84
- total moment (μB per cell) = 0.00

```
ErTl2SbSe4
1.0
-0.949 -4.100 -7.610
-2.241 -7.272 4.208
-4.347 7.239 1.468
Tl Er Se Sb
4 2 8 2
direct
0.500 0.000 0.500
0.500 0.000 0.000
0.500 0.500 0.000
0.000 0.000 0.500
0.000 0.500 0.000
0.000 0.500 0.500
0.768 0.293 0.531
0.232 0.707 0.469
0.235 0.265 0.023
0.207 0.732 0.969
0.765 0.735 0.523
0.793 0.268 0.031
0.235 0.265 0.477
0.765 0.735 0.977
0.000 0.000 0.000
0.500 0.500 0.500
```



## ErTl3Sb3Se8 (PBE-GGA)

Data for a geometry-optimized ErTl3Sb3Se8 structure.

- raw formation energy (eV/atom) = -0.58
- total moment (μB per cell) = 0.00

```
ErTl3Sb3Se8
1.0
-0.285 5.948 5.741
-6.133 -0.735 -5.501
0.523 -6.216 6.466
Tl Se Sb Er
3 8 3 1
direct
0.000 0.000 0.000
0.500 0.500 0.000
0.000 0.500 0.000
0.763 0.026 0.290
0.261 0.522 0.283
0.237 0.474 0.711
0.237 0.974 0.710
0.737 0.974 0.710
0.263 0.026 0.290
0.763 0.526 0.289
0.739 0.478 0.717
0.000 0.500 0.500
0.500 0.500 0.500
0.500 0.000 0.500
0.000 0.000 0.500
```



## ErTmSbSe (PBE-GGA)

Data for a geometry-optimized ErTmSbSe structure.

- raw formation energy (eV/atom) = -1.37
- total moment (μB per cell) = 0.00

```
ErTmSbSe
1.0
-2.245 0.237 3.545
-0.593 -4.162 -0.097
4.948 -0.775 3.186
Sb Er Tm Se
1 1 1 1
direct
0.000 0.891 0.592
0.500 0.391 0.593
0.000 0.892 0.092
0.500 0.392 0.093
```



In order of appearance, calculated volume = 291; 314; 280; 187; 202; 299; 223; 318; 326; 312; 427; 221; 208; 220; 323; 211; 467; 351; 232; 451; 105 Å³/f.u..